BaTiSbTe2 (PBE-GGA, relaxed); ΔE_f (raw) = -765 meV per atom; E above lowest polymorph = 0 meV per atom; electronic total energy = -4.8097 eV per atom; total magnetic moment = 0.000 μB per formula unit
1.0
5.4998 0.0000 0.0000
0.0000 5.4998 0.0000
0.0000 0.0000 5.3752
Te Ba Ti Sb
2 1 1 1
direct
0.5000 0.0000 0.0000
0.0000 0.5000 0.0000
0.5000 0.5000 0.5000
0.0000 0.0000 0.0000
0.0000 0.0000 0.5000

---

La4Hg2Br5 (PBE-GGA, relaxed); ΔE_f (raw) = -1171 meV per atom; electronic total energy = -3.7785 eV per atom; total magnetic moment = 1.946 μB per formula unit
1.0
-2.9103 2.2400 1.4242
-3.5712 -6.9792 3.6792
7.1869 -1.0371 10.8697
Br La Hg
5 4 2
direct
0.7702 0.6770 0.5403
0.1367 0.8317 0.2735
0.8633 0.1683 0.7265
0.2298 0.3230 0.4597
0.5000 0.0000 0.0000
0.6639 0.5567 0.3279
0.3361 0.4433 0.6721
0.0311 0.7198 0.0623
0.9689 0.2802 0.9377
0.9147 0.6238 0.8294
0.0853 0.3762 0.1706

---

Ba2GaAg2 (PBE-GGA, relaxed); energy of formation from the pure elements = -0.03 eV per atom; E above lowest polymorph = 256 meV per atom; electronic total energy = -2.5435 eV per atom; total magnetic moment = 0.000 μB per formula unit
1.0
-4.9548 -7.2837 -2.8803
2.0912 -4.5146 7.8194
-3.4077 1.5939 1.8316
Ga Ag Ba
2 4 4
direct
0.0000 0.0000 0.0000
0.5000 0.5000 0.0000
0.6115 0.8885 0.5000
0.8885 0.3885 0.5000
0.3885 0.1115 0.5000
0.1115 0.6115 0.5000
0.3221 0.8221 0.0000
0.1779 0.3221 0.0000
0.6779 0.1779 0.0000
0.8221 0.6779 0.0000

---

BaSr3Pd (PBE-GGA, relaxed); energy of formation from the pure elements = 0.38 eV per atom; E above lowest polymorph = 684 meV per atom; electronic total energy = -2.0473 eV per atom; total magnetic moment = 0.000 μB per formula unit
1.0
3.4794 -10.7932 0.0000
3.4794 10.7932 0.0000
0.0000 0.0000 7.5706
Sr Ba Pd
6 2 2
direct
0.0000 0.0000 0.5000
0.0000 0.0000 0.0000
0.8757 0.6059 0.7500
0.6059 0.8757 0.2500
0.1243 0.3941 0.2500
0.3941 0.1243 0.7500
0.1827 0.8173 0.2500
0.8173 0.1827 0.7500
0.4776 0.5224 0.2500
0.5224 0.4776 0.7500